VASP calculation (PBE-GGA) on an optimized crystal structure of Pm8ThGe6.

Energy of formation   -0.60 eV/atom
Total magnetization   0.00 μB per cell
Symmetry   No. 148

abc: 7.864 7.864 9.454
angles: 65.42 65.42 60.00
Sites, in units of the cell vectors:
Ge  0.068  0.739  0.793
Ge  0.399  0.068  0.793
Ge  0.932  0.261  0.207
Pm  0.455  0.782  0.643
Pm  0.333  0.333  0.000
Ge  0.739  0.399  0.793
Ge  0.601  0.932  0.207
Ge  0.261  0.601  0.207
Pm  0.218  0.880  0.357
Pm  0.120  0.455  0.643
Pm  0.667  0.667  0.000
Th  0.000  0.000  0.000
Pm  0.545  0.218  0.357
Pm  0.880  0.545  0.357
Pm  0.782  0.120  0.643

VASP calculation (PBE-GGA) on an optimized crystal structure of BaInGe2B.

Energy of formation   0.67 eV/atom
Total magnetization   0.00 μB per cell
Symmetry   No. 123

abc: 5.597 4.350 5.597
angles: 90.00 90.00 90.00
Sites, in units of the cell vectors:
B  0.000  0.500  0.000
Ge  0.000  0.000  0.500
Ge  0.500  0.000  0.000
Ba  0.500  0.500  0.500
In  0.000  0.000  0.000

VASP calculation (PBE-GGA) on an optimized crystal structure of SmDyCrN3.

Energy relative to the elements, uncorrected   -6.71 eV per formula unit
Total magnetization   0.16 μB per cell
Symmetry   No. 11

abc: 3.416 7.318 7.370
angles: 98.11 90.00 90.00
Each line ends with the local moment (μB).
Sites, in units of the cell vectors:
Sm  0.750  0.827  0.825  0.00
Dy  0.750  0.368  0.830  0.00
Sm  0.250  0.173  0.175  0.00
Cr  0.250  0.082  0.598  0.07
N  0.250  0.837  0.479  0.00
N  0.750  0.401  0.146  0.00
Cr  0.750  0.918  0.402  0.07
N  0.750  0.883  0.153  0.00
N  0.750  0.163  0.521  0.00
N  0.250  0.599  0.854  0.00
Dy  0.250  0.632  0.170  0.00
N  0.250  0.117  0.847  0.00

VASP calculation (PBE-GGA) on an optimized crystal structure of CaScSb2.

Offset from the most stable computed form   0.120 eV/atom
Energy relative to the elements, uncorrected   -2.90 eV per formula unit
Total magnetization   0.00 μB per cell
Symmetry   No. 44

abc: 6.252 6.252 6.252
angles: 139.31 139.28 58.93
Sites, in units of the cell vectors:
Sb  0.000  0.000  0.000
Sb  0.750  0.250  0.500
Ca  0.250  0.750  0.500
Sc  0.500  0.500  0.000

VASP calculation (PBE-GGA) on an optimized crystal structure of As2Au.

Energy of formation   0.08 eV/atom
Total magnetization   0.00 μB per cell
Symmetry   No. 164

abc: 3.776 3.778 4.865
angles: 90.00 89.99 119.98
Sites, in units of the cell vectors:
Au  0.000  0.000  0.000
As  0.667  0.333  0.339
As  0.333  0.667  0.661

VASP calculation (PBE-GGA) on an optimized crystal structure of Hf6SiN2.

Energy relative to the elements, uncorrected   -6.78 eV per formula unit
Total magnetization   0.00 μB per cell
Symmetry   No. 12

abc: 4.330 5.768 7.516
angles: 69.65 73.26 67.96
Sites, in units of the cell vectors:
N  0.181  0.724  0.915
Hf  0.665  0.251  0.420
N  0.819  0.276  0.085
Hf  0.690  0.701  0.919
Hf  0.335  0.749  0.580
Hf  0.019  0.154  0.808
Hf  0.981  0.846  0.192
Si  0.000  0.500  0.500
Hf  0.310  0.299  0.081

VASP calculation (PBE-GGA) on an optimized crystal structure of ErLu2S.

Energy relative to the elements, uncorrected   -2.66 eV per formula unit
Total magnetization   0.47 μB per cell
Symmetry   No. 166

abc: 3.549 3.549 10.124
angles: 79.91 79.91 60.00
Each line ends with the local moment (μB).
Sites, in units of the cell vectors:
Lu  0.111  0.111  0.666  -0.03
Lu  0.889  0.889  0.334  -0.03
Er  0.000  0.000  0.000  -0.26
S  0.500  0.500  0.500  0.00

VASP calculation (PBE-GGA) on an optimized crystal structure of Ca2CrCo.

Offset from the most stable computed form   0.222 eV/atom
Energy of formation   0.61 eV/atom
Total magnetization   4.97 μB per cell
Symmetry   No. 225

abc: 5.042 5.042 5.042
angles: 60.00 60.00 60.00
Each line ends with the local moment (μB).
Sites, in units of the cell vectors:
Ca  0.750  0.750  0.750  0.04
Ca  0.250  0.250  0.250  0.04
Co  0.500  0.500  0.500  0.26
Cr  0.000  0.000  0.000  3.89

Look up the total magnetization of the fifth one. 0.00 μB per cell